[1]
Compound: Pu2InSb3
Source: the Alexandria database
Functional: GGA-PBE
Structure: relaxed

## Properties
- space-group type = P-4m2 (115)
- formation energy from raw total energies (eV per atom) = -0.422
- total magnetization (μB/f.u.) = 10.55
- calculated density (Mg/m³) = 9.8

a = 4.3927 Å, b = 4.3927 Å, c = 8.5097 Å
α = 90.00°, β = 90.00°, γ = 90.00°
Sites, in units of the cell vectors:
Pu  0.0000  0.5000  0.1978
Pu  0.5000  0.0000  0.8022
In  0.0000  0.0000  0.5000
Sb  0.0000  0.5000  0.8324
Sb  0.5000  0.0000  0.1676
Sb  0.5000  0.5000  0.5000

***

[2]
Compound: Pu6InSb2
Source: the Alexandria database
Functional: GGA-PBE
Structure: relaxed

## Properties
- space-group type = P6/mmm (191)
- formation energy from raw total energies (eV per atom) = -0.151
- total magnetization (μB/f.u.) = 36.74
- calculated density (Mg/m³) = 13.1

a = 8.8885 Å, b = 8.8885 Å, c = 3.3828 Å
α = 90.00°, β = 90.00°, γ = 120.00°
Sites, in units of the cell vectors:
Pu  0.0000  0.3354  0.0000
Pu  0.0000  0.6646  0.0000
Pu  0.3354  0.0000  0.0000
Pu  0.3354  0.3354  0.0000
Pu  0.6646  0.0000  0.0000
Pu  0.6646  0.6646  0.0000
In  0.0000  0.0000  0.5000
Sb  0.3333  0.6667  0.5000
Sb  0.6667  0.3333  0.5000

***

[3]
Compound: PuInSb
Source: the Alexandria database
Functional: GGA-PBE
Structure: relaxed

## Properties
- space-group type = I4mm (107)
- formation energy from raw total energies (eV per atom) = -0.237
- total magnetization (μB/f.u.) = 6.10
- offset from the most stable computed form (kJ/mol of formula units) = 41
- calculated density (Mg/m³) = 10.0

a = 3.8287 Å, b = 3.8287 Å, c = 10.9089 Å
α = 90.00°, β = 90.00°, γ = 90.00°
Sites, in units of the cell vectors:
Pu  0.0000  0.0000  0.0000
Pu  0.5000  0.5000  0.5000
In  0.0000  0.0000  0.3137
In  0.5000  0.5000  0.8137
Sb  0.0000  0.0000  0.6745
Sb  0.5000  0.5000  0.1745

***

[4]
Compound: PuInSb
Source: the Alexandria database
Functional: GGA-PBE
Structure: relaxed

## Properties
- space-group type = Cmcm (63)
- formation energy from raw total energies (eV per atom) = -0.377
- total magnetization (μB/f.u.) = 5.70
- offset from the most stable computed form (kJ/mol of formula units) = 0
- calculated density (Mg/m³) = 10.0

a = 4.4211 Å, b = 16.2362 Å, c = 4.4250 Å
α = 90.00°, β = 90.00°, γ = 90.00°
Sites, in units of the cell vectors:
Pu  0.0000  0.0838  0.2500
Pu  0.0000  0.9162  0.7500
Pu  0.5000  0.4162  0.7500
Pu  0.5000  0.5838  0.2500
In  0.0000  0.2526  0.7500
In  0.0000  0.7474  0.2500
In  0.5000  0.2474  0.2500
In  0.5000  0.7526  0.7500
Sb  0.0000  0.4217  0.2500
Sb  0.0000  0.5783  0.7500
Sb  0.5000  0.0783  0.7500
Sb  0.5000  0.9217  0.2500

***

[5]
Compound: PuInSb
Source: the Alexandria database
Functional: GGA-PBE
Structure: relaxed

## Properties
- space-group type = P-6m2 (187)
- formation energy from raw total energies (eV per atom) = -0.230
- total magnetization (μB/f.u.) = 6.12
- offset from the most stable computed form (kJ/mol of formula units) = 42
- calculated density (Mg/m³) = 10.0

a = 5.3016 Å, b = 5.3016 Å, c = 3.2716 Å
α = 90.00°, β = 90.00°, γ = 120.00°
Sites, in units of the cell vectors:
Pu  0.0000  0.0000  0.0000
In  0.6667  0.3333  0.5000
Sb  0.3333  0.6667  0.5000

***

[6]
Compound: Pu6In2Sb
Source: the Alexandria database
Functional: GGA-PBE
Structure: relaxed

## Properties
- space-group type = P6/mmm (191)
- formation energy from raw total energies (eV per atom) = 0.284
- total magnetization (μB/f.u.) = 19.43
- calculated density (Mg/m³) = 15.0

a = 7.6279 Å, b = 7.6279 Å, c = 3.9983 Å
α = 90.00°, β = 90.00°, γ = 120.00°
Sites, in units of the cell vectors:
Pu  0.0000  0.3352  0.0000
Pu  0.0000  0.6648  0.0000
Pu  0.3352  0.0000  0.0000
Pu  0.3352  0.3352  0.0000
Pu  0.6648  0.0000  0.0000
Pu  0.6648  0.6648  0.0000
In  0.3333  0.6667  0.5000
In  0.6667  0.3333  0.5000
Sb  0.0000  0.0000  0.5000

***

[7]
Compound: Pu2InSb4
Source: the Alexandria database
Functional: GGA-PBE
Structure: relaxed

## Properties
- space-group type = P-4m2 (115)
- formation energy from raw total energies (eV per atom) = -0.403
- total magnetization (μB/f.u.) = 10.48
- calculated density (Mg/m³) = 9.1

a = 4.3551 Å, b = 4.3551 Å, c = 10.5247 Å
α = 90.00°, β = 90.00°, γ = 90.00°
Sites, in units of the cell vectors:
Pu  0.0000  0.5000  0.2304
Pu  0.5000  0.0000  0.7696
In  0.0000  0.0000  0.5000
Sb  0.0000  0.0000  0.0000
Sb  0.0000  0.5000  0.6873
Sb  0.5000  0.0000  0.3127
Sb  0.5000  0.5000  0.0000

***

[8]
Compound: Pu4InSb
Source: the Alexandria database
Functional: GGA-PBE
Structure: relaxed

## Properties
- space-group type = Immm (71)
- formation energy from raw total energies (eV per atom) = -0.126
- total magnetization (μB/f.u.) = 24.52
- calculated density (Mg/m³) = 13.1

a = 5.1615 Å, b = 6.6260 Å, c = 9.0164 Å
α = 90.00°, β = 90.00°, γ = 90.00°
Sites, in units of the cell vectors:
Pu  0.0000  0.2479  0.1661
Pu  0.0000  0.2479  0.8339
Pu  0.0000  0.7521  0.1661
Pu  0.0000  0.7521  0.8339
Pu  0.5000  0.2521  0.3339
Pu  0.5000  0.2521  0.6661
Pu  0.5000  0.7479  0.3339
Pu  0.5000  0.7479  0.6661
In  0.0000  0.0000  0.5000
In  0.5000  0.5000  0.0000
Sb  0.0000  0.5000  0.5000
Sb  0.5000  0.0000  0.0000